Below is a relaxed structure of HoGaNi, with properties calculated at the PBE level.

Output
space group: No. 216
uncorrected energy: -4.824 eV/atom

Cell lengths 4.3843, 4.3843, 4.3843 Å; angles 60.00, 60.00, 60.00 degrees
Atoms (fractional coordinates):
Ho  0.0000  0.0000  0.0000
Ga  0.5000  0.5000  0.5000
Ni  0.7500  0.7500  0.7500